{"formula": "LiHfCr2O8", "functional": "PBE+U", "state": "relaxed", "cell": [[-5.474, -0.342, 1.627], [3.858, -0.441, 4.201], [0.690, 5.192, -2.302]], "species": ["Li", "Hf", "Cr", "Cr", "O", "O", "O", "O", "O", "O", "O", "O"], "fractional_positions": [[0.250, 0.750, 0.500], [0.000, 0.000, 0.000], [0.750, 0.250, 0.500], [0.500, 0.500, 0.000], [0.382, 0.086, 0.295], [0.325, 0.512, 0.187], [0.325, 0.138, 0.813], [0.791, 0.086, 0.705], [0.862, 0.675, 0.187], [0.914, 0.209, 0.295], [0.914, 0.618, 0.705], [0.488, 0.675, 0.813]], "crystal_system": "tetragonal", "dft_energy_ev_per_atom": -7.395}